First-principles (PBE) data for an optimized crystal structure of ScSe2N, as listed in Alexandria.

Cell: 5.3108 5.3108 7.2063 Å, 68.38 68.38 90.00°
Fractional coordinates of all 8 atoms:
Sc 0.0000 0.0000 0.0000
Sc 0.7500 0.2500 0.5000
Se 0.5483 0.1250 0.2500
Se 0.2017 0.6250 0.2500
Se 0.3750 0.4517 0.7500
Se 0.8750 0.7983 0.7500
N 0.5000 0.5000 0.0000
N 0.2500 0.7500 0.5000

**Formation energy (no corrections)**: 227 meV per atom
**DFT total energy**: -5.180 eV per atom
**Volume**: 21.7 A^3/atom